Record 1
Material: Li3Hg
Method: DFT, GGA-PBEsol
State: optimized geometry

Properties
Volume   402.83 Å³/cell
Size of the total moment   0.00 μB per formula unit
Formation enthalpy at 0 K   -30 kJ/mol of atoms

abc: 5.9066 14.0835 4.8426
angles: 90.00 90.00 90.00
Last column: nearest neighbours and their distance in Å.
Fractional coordinates of all 24 atoms:
Li 0.0004 0.2500 0.0707  8 Li 2.76-2.98, 4 Hg 2.82-2.85
Li 0.9996 0.7500 0.9293  8 Li 2.76-2.98, 4 Hg 2.82-2.85
Li 0.0005 0.0840 0.6905  4 Hg 2.82-2.84, 8 Li 2.83-3.00
Li 0.0005 0.4160 0.6905  4 Hg 2.82-2.84, 8 Li 2.83-3.00
Li 0.2500 0.2500 0.5520  8 Li 2.76-2.91, 4 Hg 2.94-2.96
Li 0.2500 0.5826 0.8076  8 Li 2.83-2.85, 4 Hg 2.95-3.00
Li 0.2500 0.9174 0.8076  8 Li 2.83-2.85, 4 Hg 2.95-3.00
Li 0.4995 0.0840 0.6905  4 Hg 2.82-2.84, 8 Li 2.83-3.00
Li 0.4995 0.4160 0.6905  4 Hg 2.82-2.84, 8 Li 2.83-3.00
Li 0.4996 0.2500 0.0707  8 Li 2.76-2.98, 4 Hg 2.82-2.85
Li 0.5004 0.7500 0.9293  8 Li 2.76-2.98, 4 Hg 2.82-2.85
Li 0.5005 0.5840 0.3095  4 Hg 2.82-2.84, 8 Li 2.83-3.00
Li 0.5005 0.9160 0.3095  4 Hg 2.82-2.84, 8 Li 2.83-3.00
Li 0.7500 0.0826 0.1924  8 Li 2.83-2.85, 4 Hg 2.95-3.00
Li 0.7500 0.4174 0.1924  8 Li 2.83-2.85, 4 Hg 2.95-3.00
Li 0.7500 0.7500 0.4480  8 Li 2.76-2.91, 4 Hg 2.94-2.96
Li 0.9995 0.5840 0.3095  4 Hg 2.82-2.84, 8 Li 2.83-3.00
Li 0.9995 0.9160 0.3095  4 Hg 2.82-2.84, 8 Li 2.83-3.00
Hg 0.2500 0.0825 0.1913  12 Li 2.83-2.98
Hg 0.2500 0.4175 0.1913  12 Li 2.83-2.98
Hg 0.2500 0.7500 0.4252  12 Li 2.82-3.00
Hg 0.7500 0.2500 0.5748  12 Li 2.82-3.00
Hg 0.7500 0.5825 0.8087  12 Li 2.83-2.98
Hg 0.7500 0.9175 0.8087  12 Li 2.83-2.98

---

Record 2
Material: Ag2IrBr
Method: DFT, GGA-PBEsol
State: optimized geometry

Properties
Volume   69.01 Å³/cell
Size of the total moment   0.00 μB per formula unit
E_form (uncorrected)   0.597 eV/atom

abc: 2.9278 2.9278 8.0505
angles: 90.00 90.00 90.00
Last column: nearest neighbours and their distance in Å.
Fractional coordinates of all 4 atoms:
Ag 0.0000 0.0000 0.0000  4 Ir 2.81, 8 Ag 2.83-2.93
Ag 0.5000 0.5000 0.2405  8 Ag 2.83-2.93
Ir 0.5000 0.5000 0.7636  4 Br 2.74, 4 Ag 2.81, 4 Ir 2.93
Br 0.0000 0.0000 0.5398  4 Ir 2.74, 4 Br 2.93

---

Record 3
Material: TlSiSb2
Method: DFT, GGA-PBEsol
State: optimized geometry

Properties
Volume   102.09 Å³/cell
Size of the total moment   0.00 μB per formula unit
E_form (uncorrected)   0.234 eV/atom

abc: 7.7049 7.7049 7.7049
angles: 30.13 30.13 30.13
Last column: nearest neighbours and their distance in Å.
Fractional coordinates of all 4 atoms:
Tl 0.0000 0.0000 0.0000  3 Si 2.91, 3 Sb 3.13
Si 0.7465 0.7465 0.7465  3 Sb 2.73, 3 Tl 2.91
Sb 0.2374 0.2374 0.2374  3 Sb 3.07, 3 Tl 3.13
Sb 0.4792 0.4792 0.4792  3 Si 2.73

---

Record 4
Material: MoN2Cl
Method: DFT, GGA-PBEsol
State: optimized geometry

Properties
Volume   149.69 Å³/cell
Size of the total moment   1.01 μB per formula unit
E_form (uncorrected)   0.140 eV/atom

abc: 5.9598 5.9598 5.9598
angles: 60.00 60.00 60.00
Last column: nearest neighbours and their distance in Å.
Fractional coordinates of all 8 atoms:
Mo 0.1250 0.1250 0.1250  4 N 1.82
Mo 0.8750 0.8750 0.8750  4 N 1.82
N 0.0000 0.0000 0.0000  2 Mo 1.82
N 0.0000 0.0000 0.5000  2 Mo 1.82
N 0.0000 0.5000 0.0000  2 Mo 1.82
N 0.5000 0.0000 0.0000  2 Mo 1.82
Cl 0.3750 0.3750 0.3750  12 N 3.49, 4 Cl 3.65, 4 Mo 3.65
Cl 0.6250 0.6250 0.6250  12 N 3.49, 4 Cl 3.65, 4 Mo 3.65

---

| no. | excess energy over the best structure of this formula in the dataset (eV per atom) |
| --- | --- |
| 1 | 0.000 |
| 2 | 0.059 |
| 3 | 0.000 |
| 4 | 0.012 |